16
Lattice="7.7623 0.0000 0.0000 0.0000 7.7623 0.0000 0.0000 0.0000 7.7623" Properties=species:S:1:pos:R:3 comment="GGA-PBE PrSmEuGa, optimized geometry" energy_ev_per_atom=-5.80 magmom_total_mub_per_cell=29.945 pbc="T T T"
Pr 0.0000 0.0000 0.0000
Pr 0.0000 3.8811 3.8811
Pr 3.8811 0.0000 3.8811
Pr 3.8811 3.8811 0.0000
Sm 0.0000 0.0000 3.8811
Sm 0.0000 3.8811 0.0000
Sm 3.8811 0.0000 0.0000
Sm 3.8811 3.8811 3.8811
Eu 1.9406 1.9406 1.9406
Eu 1.9406 5.8217 5.8217
Eu 5.8217 1.9406 5.8217
Eu 5.8217 5.8217 1.9406
Ga 1.9406 1.9406 5.8217
Ga 1.9406 5.8217 1.9406
Ga 5.8217 1.9406 1.9406
Ga 5.8217 5.8217 5.8217